# 1
Here is a relaxed structure of BTeHRhAu from Alexandria via LeMat-Bulk. Energies are from PBE.

Geometry as POSCAR:
```
BTeHRhAu
1.0
4.707 0.000 0.000
0.000 3.282 0.000
-1.775 0.000 5.786
B Te H Rh Au
1 1 1 1 1
Direct
0.000 0.000 0.000 B
0.489 0.500 0.495 Te
0.749 0.000 0.027 H
0.418 0.000 0.157 Rh
0.084 0.500 0.780 Au
```

## Properties
polymorph energy (0 for the lowest one)	57	meV per atom
electronic total energy	-4.63	eV per atom
symmetry	Pm, No. 6
magnetization	0.000	μB/f.u.


# 2
Here is a relaxed structure of TlVTe4 from Alexandria via LeMat-Bulk. Energies are from PBE.

Geometry as POSCAR:
```
TlVTe4
1.0
7.759 -4.142 0.000
7.759 4.142 0.000
-0.373 0.000 5.968
Tl V Te
2 2 8
Direct
0.192 0.192 0.222 Tl
0.808 0.808 0.778 Tl
0.483 0.483 0.718 V
0.517 0.517 0.282 V
0.182 0.595 0.400 Te
0.240 0.760 0.000 Te
0.308 0.308 0.758 Te
0.405 0.818 0.600 Te
0.595 0.182 0.400 Te
0.692 0.692 0.242 Te
0.760 0.240 0.000 Te
0.818 0.405 0.600 Te
```

## Properties
polymorph energy (0 for the lowest one)	9	meV per atom
electronic total energy	-4.15	eV per atom
symmetry	C2/m, No. 12
magnetization	0.750	μB/f.u.
raw formation energy	-0.139	eV/atom


# 3
Here is a relaxed structure of TeAs2Cl from Alexandria via LeMat-Bulk. Energies are from PBE.

Geometry as POSCAR:
```
TeAs2Cl
1.0
-2.470 2.470 3.548
2.470 -2.470 3.548
2.470 2.470 -3.548
Te As Cl
1 2 1
Direct
0.000 0.000 0.000 Te
0.250 0.750 0.500 As
0.500 0.500 0.000 As
0.750 0.250 0.500 Cl
```

## Properties
polymorph energy (0 for the lowest one)	508	meV per atom
electronic total energy	-3.20	eV per atom
symmetry	I-4m2, No. 119
magnetization	0.000	μB/f.u.
raw formation energy	0.371	eV/atom


> Among the records above, which one has the highest polymorph energy (0 for the lowest one)?

TeAs2Cl


> The lowest polymorph energy (0 for the lowest one) belongs to which entry?

TlVTe4